# LuAlGa4

Crystalline LuAlGa4 at its relaxed geometry (PBE, Alexandria).

Computed properties:
- density of states at the Fermi level (states/eV per atom) = 0.9768
- formation enthalpy at 0 K (eV per atom) = -0.151

Cell lengths 5.439, 5.439, 5.439 Å; angles 60.00, 60.00, 60.00 degrees
Fractional positions:
Lu 0.000 0.000 0.000
Al 0.250 0.250 0.250
Ga 0.625 0.625 0.124
Ga 0.625 0.124 0.625
Ga 0.625 0.625 0.625
Ga 0.124 0.625 0.625